Density functional theory data (PBE-GGA) for TaZnMo2 after structural relaxation.

The structure in POSCAR format:
```
TaZnMo2
1.0
5.204 0.014 0.001
2.258 4.688 -0.001
-3.327 -2.992 2.656
Mo Ta Zn
2 1 1
direct
0.986 0.986 0.000
0.756 0.256 0.500
0.512 0.512 0.000
0.246 0.746 0.500
```

## Properties
Final energy = -34.5 eV per cell
Symmetry = Imm2
Crystal system = orthorhombic
Spin magnetization = 0.000 μB/f.u.


Density functional theory data (PBE-GGA) for TaZnMo3 after structural relaxation.

The structure in POSCAR format:
```
TaZnMo3
1.0
4.530 0.000 0.000
0.000 4.530 0.000
0.000 0.000 4.530
Mo Zn Ta
3 1 1
direct
0.000 0.500 0.000
0.000 0.000 0.500
0.500 0.000 0.000
0.000 0.000 0.000
0.500 0.500 0.500
```

## Properties
Final energy = -37.9 eV per cell
Symmetry = Pm-3m
Crystal system = cubic
Spin magnetization = 0.000 μB/f.u.